{"formula": "SmCuS2", "functional": "PBE", "state": "relaxed", "lattice": [[-6.208, -1.349, -3.242], [2.111, -5.887, -1.592], [-2.210, -3.271, 5.592]], "species": ["Sm", "Sm", "Sm", "Sm", "Cu", "Cu", "Cu", "Cu", "S", "S", "S", "S", "S", "S", "S", "S"], "fractional_positions": [[0.951, 0.808, 0.800], [0.451, 0.192, 0.700], [0.049, 0.192, 0.200], [0.549, 0.808, 0.300], [0.664, 0.424, 0.048], [0.336, 0.576, 0.952], [0.164, 0.576, 0.452], [0.836, 0.424, 0.548], [0.726, 0.081, 0.002], [0.226, 0.919, 0.498], [0.274, 0.919, 0.998], [0.774, 0.081, 0.502], [0.114, 0.409, 0.779], [0.386, 0.409, 0.279], [0.886, 0.591, 0.221], [0.614, 0.591, 0.721]], "total_energy_ry_per_atom": -0.4154, "mass_density_g_cm3": 5.9, "formation_energy_uncorrected_ev_per_atom": -1.385, "sg": "P2_1/c"}